Entry from Alexandria: a geometry-optimized La6Tc2Br3F structure (GGA-PBE).

Unit cell a=4.1896 b=9.2798 c=9.9558 alpha=112.66 beta=102.15 gamma=90.00
Atoms (fractional coordinates):
1 Br 0.5000 0.5000 0.0000
2 Br 0.1770 0.8316 0.3539
3 Br 0.8230 0.1684 0.6461
4 Tc 0.1437 0.3105 0.2873
5 Tc 0.8563 0.6895 0.7127
6 La 0.6437 0.0997 0.2875
7 La 0.3204 0.4440 0.6409
8 La 0.6796 0.5560 0.3591
9 La 0.0119 0.2352 0.0239
10 La 0.9881 0.7648 0.9761
11 La 0.3563 0.9003 0.7125
12 F 0.5000 0.0000 0.0000

## Properties
For the uncorrected formation energy, the calculation gives -1.105 eV/atom. The calculation puts the total DFT energy (no corrections) at -70.45 eV/f.u.

***

Entry from Alexandria: a geometry-optimized V3Au structure (GGA-PBE).

Unit cell a=2.5913 b=5.0028 c=5.3263 alpha=118.01 beta=104.08 gamma=90.00
Atoms (fractional coordinates):
1 Au 0.0000 0.0164 0.0000
2 V 0.5000 0.5204 0.0000
3 V 0.2508 0.5657 0.5016
4 V 0.7492 0.0641 0.4984

## Properties
The distance to the lowest polymorph of the same formula is 177 meV per atom. The value obtained for the energy of formation is 0.140 eV/atom. The calculation puts the total DFT energy (no corrections) at -30.07 eV/f.u.

***

Entry from Alexandria: a geometry-optimized Na3Pm3IrO8 structure (GGA-PBE).

Unit cell a=6.8997 b=6.8998 c=6.8505 alpha=120.23 beta=90.00 gamma=120.00
Atoms (fractional coordinates):
1 O 0.2300 0.0139 0.2977
2 O 0.7839 0.5677 0.2977
3 O 0.7388 0.4776 0.7164
4 O 0.7839 0.0139 0.2977
5 O 0.2612 0.5224 0.2836
6 O 0.2161 0.9861 0.7023
7 O 0.2161 0.4323 0.7023
8 O 0.7700 0.9861 0.7023
9 Pm 0.5000 0.0000 0.5000
10 Pm 0.0000 0.5000 0.5000
11 Pm 0.5000 0.5000 0.5000
12 Ir 0.0000 0.0000 0.5000
13 Na 0.0000 0.5000 0.0000
14 Na 0.0000 0.0000 0.0000
15 Na 0.5000 0.5000 0.0000

## Properties
For the uncorrected formation energy, the calculation gives -2.228 eV/atom. The calculation puts the total DFT energy (no corrections) at -100.15 eV/f.u.

***

Entry from Alexandria: a geometry-optimized LaZnCu3 structure (GGA-PBE).

Unit cell a=5.3792 b=5.3792 c=5.3792 alpha=90.00 beta=90.00 gamma=90.00
Atoms (fractional coordinates):
1 Cu 0.0000 0.0000 0.5000
2 Cu 0.0000 0.5000 0.0000
3 Cu 0.5000 0.0000 0.0000
4 La 0.0000 0.0000 0.0000
5 Zn 0.5000 0.5000 0.5000

## Properties
The distance to the lowest polymorph of the same formula is 1354 meV per atom. The value obtained for the energy of formation is 1.179 eV/atom. The calculation puts the total DFT energy (no corrections) at -12.59 eV/f.u.